# 1
The following is a DFT calculation (PBE) of a relaxed structure of PRuS2.

Lattice parameters (Å, degrees): 5.9306 5.9306 5.9306 119.91 119.91 90.16
Positions (direct):
P 0.0000 0.0000 0.0000
P 0.7500 0.2500 0.5000
Ru 0.2500 0.7500 0.5000
Ru 0.5000 0.5000 0.0000
S 0.1497 0.6250 0.0247
S 0.3750 0.3997 0.5247
S 0.6003 0.1250 0.9753
S 0.8750 0.8503 0.4753

Space-group type: I-42d
Energy relative to the elements, uncorrected in eV/atom: 0.300
Calculated density in g/cm3: 4.41
Crystal system: tetragonal
Spin magnetization in μB/cell: 0.0

=====

# 2
The following is a DFT calculation (PBE) of a relaxed structure of Ba2TeBr.

Lattice parameters (Å, degrees): 8.2774 8.2774 8.2774 34.61 34.61 34.61
Positions (direct):
Ba 0.2490 0.2490 0.2490
Ba 0.7510 0.7510 0.7510
Te 0.5000 0.5000 0.5000
Br 0.0000 0.0000 0.0000

Space-group type: R-3m
Energy relative to the elements, uncorrected in eV/atom: -1.696
Calculated density in g/cm3: 4.91
Relative energy among the computed polymorphs in meV/atom: 0
Crystal system: trigonal
Spin magnetization in μB/cell: 0.0

=====

# 3
The following is a DFT calculation (PBE) of a relaxed structure of PrZnHRh2.

Lattice parameters (Å, degrees): 5.8600 5.8600 7.2885 90.00 90.00 140.92
Positions (direct):
Pr 0.0576 0.9424 0.7500
Pr 0.9424 0.0576 0.2500
Zn 0.2176 0.7824 0.2500
Zn 0.7824 0.2176 0.7500
H 0.5000 0.5000 0.0000
H 0.5000 0.5000 0.5000
Rh 0.3440 0.6560 0.5427
Rh 0.3440 0.6560 0.9573
Rh 0.6560 0.3440 0.0427
Rh 0.6560 0.3440 0.4573

Space-group type: Cmcm
Calculated density in g/cm3: 8.70
Total energy in eV/atom: -5.299
Crystal system: orthorhombic
Spin magnetization in μB/cell: 0.0

=====

# 4
The following is a DFT calculation (PBE) of a relaxed structure of LiCu.

Lattice parameters (Å, degrees): 4.8839 4.8839 8.2847 90.00 90.00 120.00
Positions (direct):
Li 0.0000 0.0000 0.0000
Li 0.0000 0.0000 0.5000
Li 0.3333 0.6667 0.0736
Li 0.3333 0.6667 0.4264
Li 0.6667 0.3333 0.5736
Li 0.6667 0.3333 0.9264
Cu 0.1691 0.3381 0.7500
Cu 0.1691 0.8309 0.7500
Cu 0.3381 0.1691 0.2500
Cu 0.6619 0.8309 0.7500
Cu 0.8309 0.1691 0.2500
Cu 0.8309 0.6619 0.2500

Space-group type: P6_3/mmc
Calculated density in g/cm3: 4.10
Formation energy in meV per atom: -60
Crystal system: hexagonal
Spin magnetization in μB/cell: 0.0

=====

Volume values (in A^3/atom) by entry order: 18.5, 40.8, 15.8, 14.3.